# GGA-PBE Ac3In9Ru2, optimized geometry
data_Ac3In9Ru2
_space_group_name_H-M_alt 'I m m m'
_space_group_IT_number 71
_space_group_name_Hall '-I 2 2'
_cell_length_a 4.8796
_cell_length_b 10.7539
_cell_length_c 13.7233
_cell_angle_alpha 90.00
_cell_angle_beta 90.00
_cell_angle_gamma 90.00
loop_
_atom_site_label
_atom_site_type_symbol
_atom_site_fract_x
_atom_site_fract_y
_atom_site_fract_z
Ac1 Ac 0.0000 0.0000 0.0000
Ac2 Ac 0.0000 0.0000 0.3085
In1 In 0.0000 0.2830 0.1267
In2 In 0.0000 0.3594 0.3505
In3 In 0.0000 0.5000 0.0000
Ru1 Ru 0.0000 0.1701 0.5000
# Raw total energy ... -4.249 eV per atom
# DFT formation energy ... -0.28 eV/atom

# GGA-PBE TlPdRh, optimized geometry
data_TlPdRh
_space_group_name_H-M_alt 'P 3 m 1'
_space_group_IT_number 156
_space_group_name_Hall 'P 3 -2"'
_cell_length_a 4.5161
_cell_length_b 4.5161
_cell_length_c 2.9755
_cell_angle_alpha 90.00
_cell_angle_beta 90.00
_cell_angle_gamma 120.00
loop_
_atom_site_label
_atom_site_type_symbol
_atom_site_fract_x
_atom_site_fract_y
_atom_site_fract_z
Tl1 Tl 0.0000 0.0000 0.0000
Pd1 Pd 0.3333 0.6667 0.3164
Rh1 Rh 0.6667 0.3333 0.6936
# Raw total energy ... -4.819 eV per atom
# ΔE to the lowest computed polymorph ... 52.7 meV per atom
# DFT formation energy ... 0.15 eV/atom

> Number 1 is which compound?

Ac3In9Ru2

> Which of these has the lowest DFT formation energy?

Ac3In9Ru2

> Look up the DFT formation energy of the first one.

-0.28 eV/atom